# 1
Material: CaTl2In
Method: DFT, PBE
State: relaxed

Calculated values
The formation energy comes out at -0.09 eV/atom. As for the raw total energy: -19.7 eV for the cell shown. As for the space group: I-42d (122). The volume is 31.4 Å³/atom. The value obtained for the total moment is 0.0 μB/cell.

Unit cell a=4.714 b=4.714 c=11.776 alpha=78.45 beta=78.45 gamma=90.00
Positions (direct):
Ca 0.250 0.750 0.500
Ca 0.500 0.500 0.000
Tl 0.633 0.125 0.250
Tl 0.117 0.625 0.250
Tl 0.375 0.367 0.750
Tl 0.875 0.883 0.750
In 0.000 0.000 0.000
In 0.750 0.250 0.500

# 2
Material: Sm8YSb6
Method: DFT, PBE
State: relaxed

Calculated values
As for the raw total energy: -81.0 eV for the cell shown. As for the space group: R-3 (148). The volume is 32.4 Å³/atom. For the formation energy from raw total energies, the calculation gives -0.80 eV per atom. The value obtained for the total moment is 0.0 μB/cell.

Unit cell a=8.109 b=8.109 c=9.739 alpha=65.40 beta=65.40 gamma=60.00
Positions (direct):
Sm 0.786 0.120 0.636
Sm 0.120 0.458 0.636
Sm 0.214 0.880 0.364
Sm 0.542 0.214 0.364
Sm 0.667 0.667 0.000
Sm 0.458 0.786 0.636
Sm 0.880 0.542 0.364
Sm 0.333 0.333 0.000
Sb 0.604 0.933 0.200
Sb 0.263 0.604 0.200
Sb 0.933 0.263 0.200
Sb 0.737 0.396 0.800
Sb 0.396 0.067 0.800
Sb 0.067 0.737 0.800
Y 0.000 0.000 0.000

# 3
Material: CaHoIn4
Method: DFT, PBE
State: relaxed

Calculated values
The formation energy comes out at -0.29 eV/atom. The calculation puts the energy above the most stable polymorph in this dataset at 44 kJ/mol of formula units. As for the raw total energy: -19.3 eV for the cell shown. As for the space group: F-43m (216). The volume is 26.2 Å³/atom. The value obtained for the total moment is 0.0 μB/cell.

Unit cell a=6.057 b=6.057 c=6.057 alpha=60.00 beta=60.00 gamma=60.00
Positions (direct):
Ho 0.000 0.000 0.000
In 0.124 0.625 0.625
In 0.625 0.625 0.625
In 0.625 0.625 0.124
In 0.625 0.124 0.625
Ca 0.250 0.250 0.250

# 4
Material: SrScS2
Method: DFT, PBE
State: relaxed

Calculated values
The calculation puts the energy above the most stable polymorph in this dataset at 160 kJ/mol of formula units. As for the raw total energy: -22.3 eV for the cell shown. As for the space group: R-3m (166). The volume is 27.9 Å³/atom. For the formation energy from raw total energies, the calculation gives -1.52 eV per atom. The value obtained for the total moment is 0.3 μB/cell.

Unit cell a=8.712 b=8.712 c=8.712 alpha=25.95 beta=25.95 gamma=25.95
Site moments in Bohr magnetons follow the coordinates.
Positions (direct):
Sr 0.000 0.000 0.000  0.07
S 0.113 0.113 0.113  0.00
S 0.887 0.887 0.887  0.00
Sc 0.500 0.500 0.500  0.00

# 5
Material: ZnCo4As
Method: DFT, PBE
State: relaxed

Calculated values
The formation energy comes out at 0.24 eV/atom. As for the raw total energy: -32.9 eV for the cell shown. As for the space group: F-43m (216). The volume is 12.9 Å³/atom. The value obtained for the total moment is 6.6 μB/cell.

Unit cell a=4.789 b=4.789 c=4.789 alpha=60.00 beta=60.00 gamma=60.00
Site moments in Bohr magnetons follow the coordinates.
Positions (direct):
Co 0.625 0.125 0.625  1.67
Co 0.625 0.625 0.625  1.67
Co 0.125 0.625 0.625  1.67
Co 0.625 0.625 0.125  1.67
Zn 0.250 0.250 0.250  -0.06
As 0.000 0.000 0.000  0.01

# 6
Material: SrAc2TcO8
Method: DFT, PBE
State: relaxed

Calculated values
As for the raw total energy: -86.8 eV for the cell shown. As for the space group: P2/m (10). The volume is 15.8 Å³/atom. For the formation energy from raw total energies, the calculation gives -2.24 eV per atom. The value obtained for the total moment is 1.0 μB/cell.

Unit cell a=4.576 b=5.422 c=7.685 alpha=90.00 beta=90.00 gamma=97.15
Site moments in Bohr magnetons follow the coordinates.
Positions (direct):
Ac 0.500 0.500 0.762  0.01
Ac 0.500 0.500 0.238  0.01
O 0.927 0.228 0.184  0.02
O 0.073 0.772 0.184  0.02
O 0.073 0.772 0.816  0.02
O 0.927 0.228 0.816  0.02
O 0.385 0.168 0.000  0.14
O 0.615 0.832 0.000  0.14
O 0.492 0.253 0.500  0.28
O 0.508 0.747 0.500  0.28
Tc 0.000 0.000 0.000  -0.06
Sr 0.000 0.000 0.500  0.00

# 7
Material: NaLa3Er2Se6
Method: DFT, PBE
State: relaxed

Calculated values
As for the raw total energy: -68.0 eV for the cell shown. As for the space group: C2/m (12). The volume is 26.2 Å³/atom. For the formation energy from raw total energies, the calculation gives -1.82 eV per atom. The value obtained for the total moment is 0.0 μB/cell.

Unit cell a=7.255 b=7.255 c=7.317 alpha=99.52 beta=99.52 gamma=120.05
Positions (direct):
Se 0.077 0.416 0.233
Se 0.584 0.923 0.767
Se 0.261 0.261 0.773
Se 0.739 0.739 0.227
Se 0.923 0.584 0.767
Se 0.416 0.077 0.233
La 0.837 0.163 0.500
La 0.163 0.837 0.500
La 0.500 0.500 0.500
Er 0.666 0.334 0.000
Er 0.334 0.666 0.000
Na 0.000 0.000 0.000

# 8
Material: Na2HgPtSe
Method: DFT, PBE
State: relaxed

Calculated values
As for the raw total energy: -12.3 eV for the cell shown. As for the space group: P4/mmm (123). The volume is 30.2 Å³/atom. For the formation energy from raw total energies, the calculation gives 0.02 eV per atom. The value obtained for the total moment is 0.7 μB/cell.

Unit cell a=5.401 b=5.172 c=5.401 alpha=90.00 beta=90.00 gamma=90.00
Site moments in Bohr magnetons follow the coordinates.
Positions (direct):
Hg 0.000 0.500 0.000  0.02
Na 0.500 0.000 0.000  0.00
Na 0.000 0.000 0.500  0.00
Se 0.500 0.500 0.500  0.37
Pt 0.000 0.000 0.000  0.05